## w
DFT (PBE) results for Na3MoSe after structural relaxation.

extended XYZ file:
```
5
Lattice="5.546 0.000 0.000 0.000 5.546 0.000 0.000 0.000 5.546" Properties=species:S:1:pos:R:3 pbc="T T T"
Na 0.000 0.000 2.773
Na 2.773 0.000 0.000
Na 0.000 2.773 0.000
Se 0.000 0.000 0.000
Mo 2.773 2.773 2.773
```

Symmetry: Pm-3m
Magnetic moment in μB/cell: 5.03

=====

## x
DFT (PBE) results for Na3MoSe after structural relaxation.

extended XYZ file:
```
5
Lattice="5.746 0.000 0.000 0.000 5.746 0.000 0.000 0.000 5.746" Properties=species:S:1:pos:R:3 pbc="T T T"
Na 2.873 0.000 0.000
Na 0.000 2.873 0.000
Na 0.000 0.000 2.873
Se 2.873 2.873 2.873
Mo 0.000 0.000 0.000
```

Symmetry: Pm-3m
Magnetic moment in μB/cell: 5.00

=====

w has the most favorable energy; the next structure is 0.586 eV/atom above.